Record 1
A plane-wave DFT calculation with PBE was carried out for an optimized crystal structure of Te2RhPb.

Lattice parameters (Å, degrees): 8.0672 8.0672 8.0672 28.67 28.67 28.67
Atoms (fractional coordinates):
1 Te 0.9777 0.9777 0.9777
2 Rh 0.2574 0.2574 0.2574
3 Pb 0.5094 0.5094 0.5094
4 Te 0.7555 0.7555 0.7555

Summary:
symmetry = R3m, No. 160
calculated density = 8.787 Mg/m³
ΔE_f (raw) = -0.0803 eV/atom

---

Record 2
A plane-wave DFT calculation with PBE was carried out for an optimized crystal structure of MnFeCl2.

Lattice parameters (Å, degrees): 4.1546 4.1546 4.1546 60.00 60.00 60.00
Atoms (fractional coordinates):
1 Cl 0.7500 0.7500 0.7500
2 Mn 0.0000 0.0000 0.0000
3 Cl 0.2500 0.2500 0.2500
4 Fe 0.5000 0.5000 0.5000

Summary:
energy above the most stable polymorph in this dataset = 1238 meV/atom
symmetry = Fm-3m, No. 225
calculated density = 5.950 Mg/m³
ΔE_f (raw) = 0.8775 eV/atom

---

Record 3
A plane-wave DFT calculation with PBE was carried out for an optimized crystal structure of ZnSe.

Lattice parameters (Å, degrees): 10.9213 10.9213 4.0806 90.00 90.00 90.00
Atoms (fractional coordinates):
1 Se 0.2364 0.5977 0.5000
2 Zn 0.6357 0.2167 0.5000
3 Zn 0.3643 0.7833 0.5000
4 Zn 0.8880 0.4245 0.0000
5 Se 0.3296 0.9073 0.0000
6 Se 0.0927 0.3296 0.0000
7 Zn 0.4245 0.1120 0.0000
8 Se 0.9073 0.6704 0.0000
9 Se 0.5977 0.7636 0.5000
10 Zn 0.2167 0.3643 0.5000
11 Se 0.6704 0.0927 0.0000
12 Se 0.4023 0.2364 0.5000
13 Zn 0.1120 0.5755 0.0000
14 Se 0.7636 0.4023 0.5000
15 Zn 0.5755 0.8880 0.0000
16 Zn 0.7833 0.6357 0.5000

Summary:
symmetry = P4/m, No. 83
calculated density = 3.940 Mg/m³
ΔE_f (raw) = -0.5911 eV/atom

---

Record 4
A plane-wave DFT calculation with PBE was carried out for an optimized crystal structure of DyCdO3.

Lattice parameters (Å, degrees): 7.6292 7.6292 7.6292 60.00 60.00 60.00
Atoms (fractional coordinates):
1 Cd 0.6250 0.6250 0.6250
2 O 0.2410 0.7590 0.7590
3 O 0.2410 0.7590 0.2410
4 Dy 0.1250 0.6250 0.1250
5 O 0.4910 0.0090 0.4910
6 O 0.7590 0.2410 0.2410
7 O 0.7590 0.7590 0.2410
8 O 0.4910 0.0090 0.0090
9 O 0.2410 0.2410 0.7590
10 Cd 0.6250 0.6250 0.1250
11 O 0.0090 0.4910 0.4910
12 O 0.4910 0.4910 0.0090
13 O 0.0090 0.4910 0.0090
14 Dy 0.1250 0.1250 0.1250
15 Cd 0.6250 0.1250 0.6250
16 O 0.0090 0.0090 0.4910
17 Dy 0.6250 0.1250 0.1250
18 Dy 0.1250 0.1250 0.6250
19 Cd 0.1250 0.6250 0.6250
20 O 0.7590 0.2410 0.7590

Summary:
symmetry = Fd-3m, No. 227
calculated density = 6.831 Mg/m³
ΔE_f (raw) = -1.7401 eV/atom

---

Record 5
A plane-wave DFT calculation with PBE was carried out for an optimized crystal structure of HgIr3.

Lattice parameters (Å, degrees): 5.0594 5.0594 5.0594 90.00 90.00 90.00
Atoms (fractional coordinates):
1 Ir 0.5000 0.0000 0.0000
2 Ir 0.0000 0.5000 0.0000
3 Ir 0.0000 0.0000 0.5000
4 Hg 0.0000 0.0000 0.0000

Summary:
ΔE_f = 3330 meV/atom
symmetry = Pm-3m, No. 221
calculated density = 9.966 Mg/m³

---

Record 6
A plane-wave DFT calculation with PBE was carried out for an optimized crystal structure of LaTm4Tc.

Lattice parameters (Å, degrees): 3.7308 8.7295 20.4934 90.00 90.00 90.00
Atoms (fractional coordinates):
1 Tc 0.7500 0.2608 0.4543
2 La 0.7500 0.2260 0.6885
3 Tm 0.7500 0.3500 0.8602
4 Tm 0.2500 0.5434 0.7027
5 La 0.2500 0.2740 0.1885
6 Tm 0.2500 0.0087 0.0652
7 Tm 0.7500 0.4566 0.2973
8 Tc 0.7500 0.7608 0.0457
9 Tm 0.7500 0.8680 0.4581
10 Tm 0.2500 0.6320 0.9581
11 La 0.7500 0.7260 0.8115
12 Tm 0.2500 0.6500 0.1398
13 Tc 0.2500 0.7392 0.5457
14 Tm 0.7500 0.9566 0.2027
15 Tm 0.7500 0.8500 0.6398
16 Tm 0.7500 0.4913 0.5652
17 Tm 0.2500 0.0434 0.7973
18 Tm 0.7500 0.9913 0.9348
19 Tc 0.2500 0.2392 0.9543
20 Tm 0.2500 0.5087 0.4348
21 Tm 0.7500 0.3680 0.0419
22 Tm 0.2500 0.1320 0.5419
23 La 0.2500 0.7740 0.3115
24 Tm 0.2500 0.1500 0.3602

Summary:
ΔE_f = -21 meV/atom
symmetry = Pnma, No. 62
calculated density = 9.082 Mg/m³

---

Record 7
A plane-wave DFT calculation with PBE was carried out for an optimized crystal structure of BaSn2Au3.

Lattice parameters (Å, degrees): 4.6747 9.4012 11.2157 105.70 90.00 104.40
Atoms (fractional coordinates):
1 Sn 0.5109 0.0217 0.7589
2 Ba 0.0000 0.0000 0.0000
3 Au 0.0471 0.0942 0.3714
4 Ba 0.1555 0.3111 0.7031
5 Au 0.9529 0.9058 0.6286
6 Sn 0.4891 0.9783 0.2411
7 Au 0.3515 0.7030 0.0569
8 Au 0.7952 0.5903 0.6585
9 Sn 0.2055 0.4111 0.0879
10 Sn 0.7945 0.5889 0.9121
11 Au 0.5000 0.0000 0.5000
12 Au 0.6316 0.2632 0.1874
13 Ba 0.8445 0.6889 0.2969
14 Au 0.3684 0.7368 0.8126
15 Sn 0.6596 0.3192 0.4547
16 Au 0.6485 0.2970 0.9431
17 Au 0.2048 0.4097 0.3415
18 Sn 0.3404 0.6808 0.5453

Summary:
ΔE_f = -512 meV/atom
symmetry = C2/m, No. 12
calculated density = 10.494 Mg/m³

---

Record 8
A plane-wave DFT calculation with PBE was carried out for an optimized crystal structure of YHo2Sb.

Lattice parameters (Å, degrees): 4.0666 4.0666 6.9117 90.00 90.00 90.00
Atoms (fractional coordinates):
1 Y 0.5000 0.5000 0.5000
2 Sb 0.5000 0.5000 0.0000
3 Ho 0.0000 0.0000 0.7706
4 Ho 0.0000 0.0000 0.2294

Summary:
energy above the most stable polymorph in this dataset = 93 meV/atom
symmetry = P4/mmm, No. 123
calculated density = 7.853 Mg/m³
ΔE_f (raw) = -0.4703 eV/atom

---

Record 9
A plane-wave DFT calculation with PBE was carried out for an optimized crystal structure of CrGa2Au.

Lattice parameters (Å, degrees): 6.9156 6.9156 5.6391 52.18 52.18 90.00
Atoms (fractional coordinates):
1 Ga 0.6192 0.1250 0.2500
2 Ga 0.8750 0.8692 0.7500
3 Ga 0.1308 0.6250 0.2500
4 Ga 0.3750 0.3808 0.7500
5 Au 0.0000 0.0000 0.0000
6 Au 0.7500 0.2500 0.5000
7 Cr 0.5000 0.5000 0.0000
8 Cr 0.2500 0.7500 0.5000

Summary:
ΔE_f = 384 meV/atom
energy above the most stable polymorph in this dataset = 419 meV/atom
symmetry = I-42d, No. 122
calculated density = 9.604 Mg/m³

---

Record 10
A plane-wave DFT calculation with PBE was carried out for an optimized crystal structure of BaTa2Mo.

Lattice parameters (Å, degrees): 4.8966 4.8966 4.8966 60.00 60.00 60.00
Atoms (fractional coordinates):
1 Ta 0.7500 0.7500 0.7500
2 Mo 0.0000 0.0000 0.0000
3 Ba 0.5000 0.5000 0.5000
4 Ta 0.2500 0.2500 0.2500

Summary:
ΔE_f = 1202 meV/atom
energy above the most stable polymorph in this dataset = 666 meV/atom
symmetry = Fm-3m, No. 225
calculated density = 11.905 Mg/m³

---

Record 11
A plane-wave DFT calculation with PBE was carried out for an optimized crystal structure of YRePt.

Lattice parameters (Å, degrees): 4.5986 4.5986 4.5986 60.00 60.00 60.00
Atoms (fractional coordinates):
1 Pt 0.0000 0.0000 0.0000
2 Re 0.5000 0.5000 0.5000
3 Y 0.7500 0.7500 0.7500

Summary:
ΔE_f = 983 meV/atom
energy above the most stable polymorph in this dataset = 1149 meV/atom
symmetry = F-43m, No. 216
calculated density = 11.355 Mg/m³

---

Record 12
A plane-wave DFT calculation with PBE was carried out for an optimized crystal structure of SiNi2Br.

Lattice parameters (Å, degrees): 5.0051 5.0051 5.0051 145.43 109.36 81.08
Atoms (fractional coordinates):
1 Br 0.2500 0.7500 0.5000
2 Ni 0.9739 0.9739 0.0000
3 Si 0.7500 0.2500 0.5000
4 Ni 0.5261 0.5261 0.0000

Summary:
energy above the most stable polymorph in this dataset = 494 meV/atom
symmetry = Immm, No. 71
calculated density = 5.717 Mg/m³
ΔE_f (raw) = 0.3066 eV/atom